Compound: ZnCuTcSn
Source: OQMD via LeMat-Bulk
Functional: PBE
Structure: optimized geometry

Calculated density: 9.22 g/cm³
Magnetization: 0.0 μB/cell
SG: No. 216
ΔE to the lowest computed polymorph: 0.0000 eV per atom

a b c (Å): 4.4494 4.4494 4.4494
angles (deg): 60.00 60.00 60.00
With the nearest neighbours (Å) after each atom.
Fractional positions:
1 Sn 0.0000 0.0000 0.0000  4 Tc 2.72, 4 Cu 2.72
2 Tc 0.2500 0.2500 0.2500  4 Sn 2.72, 4 Zn 2.72
3 Cu 0.7500 0.7500 0.7500  4 Sn 2.72, 4 Zn 2.72
4 Zn 0.5000 0.5000 0.5000  4 Tc 2.72, 4 Cu 2.72

---

Compound: CuSnTe2
Source: OQMD via LeMat-Bulk
Functional: PBE
Structure: optimized geometry

Calculated density: 7.27 g/cm³
Final energy: -12.5 eV per cell
SG: No. 216

a b c (Å): 5.2079 5.2079 5.2079
angles (deg): 60.00 60.00 60.00
With the nearest neighbours (Å) after each atom.
Fractional positions:
1 Sn 0.5000 0.5000 0.5000  4 Cu 3.19, 4 Te 3.19
2 Te 0.7500 0.7500 0.7500  4 Te 3.19, 4 Sn 3.19
3 Te 0.0000 0.0000 0.0000  4 Te 3.19, 4 Cu 3.19
4 Cu 0.2500 0.2500 0.2500  4 Sn 3.19, 4 Te 3.19

---

Compound: CuSn2Te
Source: OQMD via LeMat-Bulk
Functional: PBE
Structure: optimized geometry

Calculated density: 7.26 g/cm³
Final energy: -13.7 eV per cell
SG: No. 216

a b c (Å): 5.1754 5.1754 5.1754
angles (deg): 60.00 60.00 60.00
With the nearest neighbours (Å) after each atom.
Fractional positions:
1 Sn 0.0000 0.0000 0.0000  4 Sn 3.17, 4 Cu 3.17
2 Sn 0.7500 0.7500 0.7500  4 Te 3.17, 4 Sn 3.17
3 Cu 0.2500 0.2500 0.2500  4 Te 3.17, 4 Sn 3.17
4 Te 0.5000 0.5000 0.5000  4 Sn 3.17, 4 Cu 3.17

---

Compound: TlCuSnTe3
Source: OQMD via LeMat-Bulk
Functional: PBE
Structure: optimized geometry

Calculated density: 7.28 g/cm³
SG: No. 63
ΔE to the lowest computed polymorph: 0.0126 eV per atom

a b c (Å): 11.9227 7.1655 7.1655
angles (deg): 34.97 90.00 90.00
With the nearest neighbours (Å) after each atom.
Fractional positions:
1 Sn 0.2500 0.0000 0.0000  6 Te 3.03-3.05
2 Sn 0.7500 0.0000 0.0000  6 Te 3.03-3.05
3 Te 0.7959 0.3473 0.3473  1 Cu 2.66
4 Te 0.0000 0.0388 0.0388  2 Cu 2.65
5 Te 0.5000 0.9612 0.9612  2 Cu 2.65
6 Te 0.2959 0.6527 0.6527  1 Cu 2.66
7 Te 0.2041 0.3473 0.3473  1 Cu 2.66
8 Te 0.7041 0.6527 0.6527  1 Cu 2.66
9 Tl 0.5000 0.2603 0.2603  2 Cu 3.33, 8 Te 3.49-3.72
10 Tl 0.0000 0.7397 0.7397  2 Cu 3.33, 8 Te 3.49-3.72
11 Cu 0.5000 0.5743 0.5743  4 Te 2.65-2.66
12 Cu 0.0000 0.4257 0.4257  4 Te 2.65-2.66

---

Compound: TlCuSnTe3
Source: OQMD via LeMat-Bulk
Functional: PBE
Structure: optimized geometry

Calculated density: 7.14 g/cm³
SG: No. 12
ΔE to the lowest computed polymorph: 0.0537 eV per atom

a b c (Å): 9.1835 9.1835 9.4035
angles (deg): 103.54 103.54 27.72
With the nearest neighbours (Å) after each atom.
Fractional positions:
1 Cu 0.4954 0.4954 0.3037  5 Te 2.59-2.88
2 Cu 0.5046 0.5046 0.6963  5 Te 2.59-2.88
3 Te 0.3468 0.3468 0.2000  1 Cu 2.59
4 Te 0.6532 0.6532 0.8000  1 Cu 2.59
5 Te 0.6478 0.6478 0.3443  1 Cu 2.65
6 Te 0.0000 0.0000 0.5000  4 Cu 2.86, 2 Sn 3.02
7 Te 0.5000 0.5000 0.0000  2 Cu 2.88
8 Te 0.3522 0.3522 0.6557  1 Cu 2.65
9 Sn 0.8254 0.8254 0.4127  6 Te 3.02-3.12
10 Sn 0.1746 0.1746 0.5873  6 Te 3.02-3.12
11 Tl 0.8555 0.8555 0.9298  7 Te 3.33-3.52
12 Tl 0.1445 0.1445 0.0702  7 Te 3.33-3.52

---

Compound: TlCuSnTe3
Source: OQMD via LeMat-Bulk
Functional: PBE
Structure: optimized geometry

Calculated density: 7.23 g/cm³
SG: No. 62
ΔE to the lowest computed polymorph: 0.0294 eV per atom

a b c (Å): 9.8999 4.3035 16.5830
angles (deg): 90.00 90.00 90.00
With the nearest neighbours (Å) after each atom.
Fractional positions:
1 Te 0.6411 0.7500 0.6964  1 Cu 2.56
2 Te 0.1411 0.7500 0.8036  1 Cu 2.56
3 Te 0.5245 0.2500 0.8877  2 Cu 2.77
4 Te 0.3449 0.7500 0.5279  1 Cu 2.58
5 Te 0.8589 0.2500 0.1964  1 Cu 2.56
6 Te 0.9755 0.7500 0.3877  2 Cu 2.77
7 Te 0.6551 0.2500 0.4721  1 Cu 2.58
8 Te 0.1551 0.2500 0.0279  1 Cu 2.58
9 Te 0.3589 0.2500 0.3036  1 Cu 2.56
10 Te 0.4755 0.7500 0.1123  2 Cu 2.77
11 Te 0.8449 0.7500 0.9721  1 Cu 2.58
12 Te 0.0245 0.2500 0.6123  2 Cu 2.77
13 Sn 0.1793 0.2500 0.4488  6 Te 2.99-3.12
14 Sn 0.8207 0.7500 0.5512  6 Te 2.99-3.12
15 Sn 0.3207 0.7500 0.9488  6 Te 2.99-3.12
16 Sn 0.6793 0.2500 0.0512  6 Te 2.99-3.12
17 Cu 0.3125 0.2500 0.1515  4 Te 2.56-2.77
18 Cu 0.6875 0.7500 0.8485  4 Te 2.56-2.77
19 Cu 0.1875 0.7500 0.6515  4 Te 2.56-2.77
20 Cu 0.8125 0.2500 0.3485  4 Te 2.56-2.77
21 Tl 0.8815 0.2500 0.7914  2 Cu 3.04, 3 Te 3.29-3.36
22 Tl 0.6185 0.7500 0.2914  2 Cu 3.04, 3 Te 3.29-3.36
23 Tl 0.3815 0.2500 0.7086  2 Cu 3.04, 3 Te 3.29-3.36
24 Tl 0.1185 0.7500 0.2086  2 Cu 3.04, 3 Te 3.29-3.36

---

Compound: TlCuSnTe3
Source: OQMD via LeMat-Bulk
Functional: PBE
Structure: optimized geometry

Calculated density: 6.77 g/cm³
SG: No. 11
ΔE to the lowest computed polymorph: 0.0049 eV per atom

a b c (Å): 8.6344 4.2180 10.9248
angles (deg): 90.00 108.56 90.00
With the nearest neighbours (Å) after each atom.
Fractional positions:
1 Te 0.5724 0.2500 0.8621  3 Sn 2.97-3.05
2 Te 0.7524 0.2500 0.4378  3 Cu 2.61-2.67
3 Te 0.4276 0.7500 0.1379  3 Sn 2.97-3.05
4 Te 0.2476 0.7500 0.5622  3 Cu 2.61-2.67
5 Te 0.0587 0.2500 0.8164  1 Cu 2.68, 2 Sn 2.98
6 Te 0.9413 0.7500 0.1836  1 Cu 2.68, 2 Sn 2.98
7 Sn 0.3136 0.7500 0.8510  6 Te 2.97-3.05
8 Sn 0.6864 0.2500 0.1490  6 Te 2.97-3.05
9 Tl 0.2662 0.2500 0.3108  6 Te 3.41-3.51, 1 Cu 3.80
10 Tl 0.7338 0.7500 0.6892  6 Te 3.41-3.51, 1 Cu 3.80
11 Cu 0.9373 0.7500 0.4276  4 Te 2.61-2.68, 2 Cu 2.65
12 Cu 0.0627 0.2500 0.5724  4 Te 2.61-2.68, 2 Cu 2.65

---

Compound: TlCuSnTe3
Source: OQMD via LeMat-Bulk
Functional: PBE
Structure: optimized geometry

Calculated density: 7.27 g/cm³
SG: No. 62
ΔE to the lowest computed polymorph: 0.0093 eV per atom

a b c (Å): 12.0022 4.3951 13.3216
angles (deg): 90.00 90.00 90.00
With the nearest neighbours (Å) after each atom.
Fractional positions:
1 Cu 0.7543 0.2500 0.3328  4 Te 2.65-2.66
2 Cu 0.7457 0.7500 0.8328  4 Te 2.65-2.66
3 Cu 0.2457 0.7500 0.6672  4 Te 2.65-2.66
4 Cu 0.2543 0.2500 0.1672  4 Te 2.65-2.66
5 Tl 0.7505 0.2500 0.0181  2 Cu 3.31, 7 Te 3.47-3.66
6 Tl 0.7495 0.7500 0.5181  2 Cu 3.31, 7 Te 3.47-3.66
7 Tl 0.2495 0.7500 0.9819  2 Cu 3.31, 7 Te 3.47-3.66
8 Tl 0.2505 0.2500 0.4819  2 Cu 3.31, 7 Te 3.47-3.66
9 Sn 0.4943 0.2500 0.7502  6 Te 3.03-3.08
10 Sn 0.9943 0.2500 0.7498  6 Te 3.03-3.08
11 Sn 0.5057 0.7500 0.2498  6 Te 3.03-3.08
12 Sn 0.0057 0.7500 0.2502  6 Te 3.03-3.08
13 Te 0.5405 0.7500 0.9062  1 Cu 2.65
14 Te 0.4595 0.2500 0.0938  1 Cu 2.65
15 Te 0.2556 0.7500 0.2801  2 Cu 2.66
16 Te 0.7556 0.7500 0.2199  2 Cu 2.66
17 Te 0.5479 0.2500 0.4046  1 Cu 2.66
18 Te 0.9521 0.7500 0.9046  1 Cu 2.66
19 Te 0.0405 0.7500 0.5938  1 Cu 2.65
20 Te 0.4521 0.7500 0.5954  1 Cu 2.66
21 Te 0.0479 0.2500 0.0954  1 Cu 2.66
22 Te 0.7444 0.2500 0.7199  2 Cu 2.66
23 Te 0.9595 0.2500 0.4062  1 Cu 2.65
24 Te 0.2444 0.2500 0.7801  2 Cu 2.66

---

Compound: TlCuSnTe3
Source: OQMD via LeMat-Bulk
Functional: PBE
Structure: optimized geometry

Calculated density: 7.24 g/cm³
SG: No. 62
ΔE to the lowest computed polymorph: 0.0094 eV per atom

a b c (Å): 4.4055 12.0482 13.2990
angles (deg): 90.00 90.00 90.00
With the nearest neighbours (Å) after each atom.
Fractional positions:
1 Sn 0.2500 0.0131 0.2494  6 Te 3.01-3.08
2 Sn 0.2500 0.5131 0.2506  6 Te 3.01-3.08
3 Sn 0.7500 0.9869 0.7506  6 Te 3.01-3.08
4 Sn 0.7500 0.4869 0.7494  6 Te 3.01-3.08
5 Te 0.2500 0.9485 0.5967  1 Cu 2.66
6 Te 0.2500 0.7609 0.2765  2 Cu 2.66
7 Te 0.2500 0.5356 0.5933  1 Cu 2.64
8 Te 0.2500 0.4485 0.9033  1 Cu 2.66
9 Te 0.7500 0.9644 0.0933  1 Cu 2.64
10 Te 0.7500 0.4644 0.4067  1 Cu 2.64
11 Te 0.7500 0.5515 0.0967  1 Cu 2.66
12 Te 0.2500 0.0356 0.9067  1 Cu 2.64
13 Te 0.7500 0.2391 0.7235  2 Cu 2.66
14 Te 0.7500 0.7391 0.7765  2 Cu 2.66
15 Te 0.7500 0.0515 0.4033  1 Cu 2.66
16 Te 0.2500 0.2609 0.2235  2 Cu 2.66
17 Cu 0.2500 0.7408 0.6639  4 Te 2.64-2.66
18 Cu 0.7500 0.7592 0.1639  4 Te 2.64-2.66
19 Cu 0.7500 0.2592 0.3361  4 Te 2.64-2.66
20 Cu 0.2500 0.2408 0.8361  4 Te 2.64-2.66
21 Tl 0.2500 0.2483 0.5206  2 Cu 3.30, 5 Te 3.49-3.59
22 Tl 0.7500 0.7517 0.4794  2 Cu 3.30, 5 Te 3.49-3.59
23 Tl 0.7500 0.2517 0.0206  2 Cu 3.30, 5 Te 3.49-3.59
24 Tl 0.2500 0.7483 0.9794  2 Cu 3.30, 5 Te 3.49-3.59

---

Compound: TlCuSnTe3
Source: OQMD via LeMat-Bulk
Functional: PBE
Structure: optimized geometry

Calculated density: 6.90 g/cm³
SG: No. 62
ΔE to the lowest computed polymorph: 0.0000 eV per atom

a b c (Å): 15.2963 4.2610 11.3674
angles (deg): 90.00 90.00 90.00
With the nearest neighbours (Å) after each atom.
Fractional positions:
1 Te 0.4130 0.2500 0.6328  3 Cu 2.59-2.68
2 Te 0.8620 0.2500 0.2314  1 Cu 2.73, 2 Sn 2.98
3 Te 0.1053 0.2500 0.4228  3 Sn 2.91-3.10
4 Te 0.3620 0.2500 0.2686  1 Cu 2.73, 2 Sn 2.98
5 Te 0.1380 0.7500 0.7686  1 Cu 2.73, 2 Sn 2.98
6 Te 0.8947 0.7500 0.5772  3 Sn 2.91-3.10
7 Te 0.6053 0.2500 0.0772  3 Sn 2.91-3.10
8 Te 0.9130 0.2500 0.8672  3 Cu 2.59-2.68
9 Te 0.5870 0.7500 0.3672  3 Cu 2.59-2.68
10 Te 0.0870 0.7500 0.1328  3 Cu 2.59-2.68
11 Te 0.6380 0.7500 0.7314  1 Cu 2.73, 2 Sn 2.98
12 Te 0.3947 0.7500 0.9228  3 Sn 2.91-3.10
13 Cu 0.0075 0.7500 0.9318  4 Te 2.59-2.73, 2 Cu 2.64
14 Cu 0.5075 0.7500 0.5682  4 Te 2.59-2.73, 2 Cu 2.64
15 Cu 0.4925 0.2500 0.4318  4 Te 2.59-2.73, 2 Cu 2.64
16 Cu 0.9925 0.2500 0.0682  4 Te 2.59-2.73, 2 Cu 2.64
17 Sn 0.0295 0.2500 0.6578  6 Te 2.91-3.10
18 Sn 0.9705 0.7500 0.3422  6 Te 2.91-3.10
19 Sn 0.5295 0.2500 0.8422  6 Te 2.91-3.10
20 Sn 0.4705 0.7500 0.1578  6 Te 2.91-3.10
21 Tl 0.7315 0.2500 0.5053  7 Te 3.38-3.70, 1 Cu 3.75
22 Tl 0.2685 0.7500 0.4947  7 Te 3.38-3.70, 1 Cu 3.75
23 Tl 0.2315 0.2500 0.9947  7 Te 3.38-3.70, 1 Cu 3.75
24 Tl 0.7685 0.7500 0.0053  7 Te 3.38-3.70, 1 Cu 3.75

---

Compound: TmCuSnTe3
Source: OQMD via LeMat-Bulk
Functional: PBE
Structure: optimized geometry

Calculated density: 6.94 g/cm³
Magnetization: 0.0 μB/cell
SG: No. 11
ΔE to the lowest computed polymorph: 0.0140 eV per atom

a b c (Å): 8.2212 4.2302 10.5063
angles (deg): 90.00 106.12 90.00
With the nearest neighbours (Å) after each atom.
Fractional positions:
1 Te 0.9574 0.7500 0.1723  1 Cu 2.67
2 Te 0.7373 0.2500 0.4618  3 Cu 2.73, 1 Tm 3.00
3 Te 0.2627 0.7500 0.5382  3 Cu 2.73, 1 Tm 3.00
4 Te 0.5791 0.2500 0.8637  3 Tm 3.05-3.08, 2 Sn 3.26
5 Te 0.4209 0.7500 0.1363  3 Tm 3.05-3.08, 2 Sn 3.26
6 Te 0.0426 0.2500 0.8277  1 Cu 2.67
7 Tm 0.6971 0.2500 0.1692  6 Te 3.00-3.08
8 Tm 0.3029 0.7500 0.8308  6 Te 3.00-3.08
9 Sn 0.7421 0.7500 0.6978  6 Te 3.25-3.26
10 Sn 0.2579 0.2500 0.3021  6 Te 3.25-3.26
11 Cu 0.9233 0.7500 0.4173  4 Te 2.67-2.73, 2 Cu 2.80
12 Cu 0.0767 0.2500 0.5827  4 Te 2.67-2.73, 2 Cu 2.80

---

Compound: TmCuSnTe3
Source: OQMD via LeMat-Bulk
Functional: PBE
Structure: optimized geometry

Calculated density: 7.22 g/cm³
Magnetization: 0.0 μB/cell
SG: No. 62
ΔE to the lowest computed polymorph: 0.0531 eV per atom

a b c (Å): 8.9022 4.4262 17.1458
angles (deg): 90.00 90.00 90.00
With the nearest neighbours (Å) after each atom.
Fractional positions:
1 Te 0.3106 0.7500 0.2168  1 Cu 2.68
2 Te 0.9813 0.7500 0.9059  2 Cu 2.64
3 Te 0.6173 0.7500 0.0601  1 Cu 2.58
4 Te 0.3827 0.2500 0.9399  1 Cu 2.58
5 Te 0.1894 0.2500 0.7168  1 Cu 2.68
6 Te 0.1173 0.7500 0.4399  1 Cu 2.58
7 Te 0.8106 0.7500 0.2832  1 Cu 2.68
8 Te 0.4813 0.7500 0.5941  2 Cu 2.64
9 Te 0.5187 0.2500 0.4059  2 Cu 2.64
10 Te 0.0187 0.2500 0.0941  2 Cu 2.64
11 Te 0.6894 0.2500 0.7832  1 Cu 2.68
12 Te 0.8827 0.2500 0.5601  1 Cu 2.58
13 Cu 0.1260 0.2500 0.8697  4 Te 2.58-2.68
14 Cu 0.8740 0.7500 0.1303  4 Te 2.58-2.68
15 Cu 0.6260 0.2500 0.6303  4 Te 2.58-2.68
16 Cu 0.3740 0.7500 0.3697  4 Te 2.58-2.68
17 Tm 0.7501 0.2500 0.9624  7 Te 3.02-3.29
18 Tm 0.7499 0.7500 0.4624  7 Te 3.02-3.29
19 Tm 0.2501 0.2500 0.5376  7 Te 3.02-3.29
20 Tm 0.2499 0.7500 0.0376  7 Te 3.02-3.29
21 Sn 0.4181 0.7500 0.7718  5 Te 3.10-3.28
22 Sn 0.9181 0.7500 0.7282  5 Te 3.10-3.28
23 Sn 0.0819 0.2500 0.2718  5 Te 3.10-3.28
24 Sn 0.5819 0.2500 0.2282  5 Te 3.10-3.28